(1)
Below is a relaxed structure of PmZn4Au8, with properties calculated at the PBE level.

a = 9.332 Å, b = 9.332 Å, c = 5.403 Å
α = 90.00°, β = 90.00°, γ = 90.00°
Space group I4/mmm (No. 139)
Asymmetric unit:
Pm: 0.000 0.000 0.000 x2
Zn: 0.250 0.250 0.250 x8
Au: 0.000 0.217 0.500 x8
Au: 0.000 0.336 0.000 x8

Calculated values
total energy = -3.128 eV/atom
energy of formation from the pure elements = -4.6 eV per formula unit

(2)
Below is a relaxed structure of MgInHg2, with properties calculated at the PBE level.

a = 3.4976 Å, b = 3.4976 Å, c = 27.2728 Å
α = 90.00°, β = 90.00°, γ = 120.00°
Space group R-3m (No. 166, hexagonal axes)
Asymmetric unit:
Mg: 0.0000 0.0000 0.0000 x3
In: 0.0000 0.0000 0.5000 x3
Hg: 0.0000 0.0000 0.2547 x6

Calculated values
total energy = -1.325 eV/atom
energy of formation from the pure elements = -0.4 eV per formula unit

(3)
Below is a relaxed structure of Ac2PrNd3As6, with properties calculated at the PBE level.

a = 19.066 Å, b = 4.374 Å, c = 8.755 Å
α = 90.00°, β = 103.32°, γ = 90.00°
Space group C2/m (No. 12)
Asymmetric unit:
Ac: 0.166 0.000 0.332 x4
Pr: 0.000 0.500 0.000 x2
Nd: 0.000 0.500 0.500 x2
Nd: 0.166 0.000 0.835 x4
As: 0.003 0.000 0.751 x4
As: 0.163 0.500 0.591 x4
As: 0.167 0.500 0.074 x4

Calculated values
total energy = -6.082 eV/atom
energy of formation from the pure elements = -17.8 eV per formula unit

(4)
Below is a relaxed structure of BaAc5Tl6, with properties calculated at the PBE level.

a = 10.167 Å, b = 17.684 Å, c = 5.907 Å
α = 90.00°, β = 125.43°, γ = 90.00°
Space group C2/m (No. 12)
Asymmetric unit:
Ba: 0.000 0.000 0.000 x2
Ac: 0.000 0.158 0.500 x4
Ac: 0.000 0.328 0.000 x4
Ac: 0.000 0.500 0.500 x2
Tl: 0.233 0.500 0.232 x4
Tl: 0.242 0.330 0.742 x8

Calculated values
total energy = -3.408 eV/atom
energy of formation from the pure elements = -4.2 eV per formula unit

(5)
Below is a relaxed structure of Pu2NiH12Rh3, with properties calculated at the PBE level.

a = 6.0804 Å, b = 6.0804 Å, c = 14.5500 Å
α = 90.00°, β = 90.00°, γ = 120.00°
Space group R-3m (No. 166, hexagonal axes)
Asymmetric unit:
Pu: 0.0000 0.0000 0.1329 x6
Ni: 0.0000 0.0000 0.5000 x3
H: 0.0512 0.5256 0.3762 x18
H: 0.0570 0.5285 0.1162 x18
Rh: 0.0000 0.5000 0.0000 x9

Calculated values
total energy = -5.569 eV/atom

(6)
Below is a relaxed structure of Dy6YTmSc2, with properties calculated at the PBE level.

a = 8.895 Å, b = 14.785 Å, c = 9.324 Å
α = 90.00°, β = 96.76°, γ = 90.00°
Space group C2/c (No. 15)
Asymmetric unit:
Dy: 0.060 0.183 0.446 x8
Dy: 0.102 0.396 0.617 x8
Dy: 0.211 0.227 0.817 x8
Y: 0.000 0.025 0.750 x4
Tm: 0.000 0.409 0.250 x4
Sc: 0.247 0.445 0.954 x8

Calculated values
total energy = -4.999 eV/atom
energy of formation from the pure elements = 1.2 eV per formula unit